P | The following is a PBE calculation of crystalline GaCu2F8 at its relaxed geometry, from the Alexandria database.

a = 6.1833 Å, b = 6.1833 Å, c = 3.9372 Å
α = 90.00°, β = 90.00°, γ = 120.00°
Closest atoms and distances in Å follow each position.
Space group P-3m1 (No. 164)
Asymmetric unit:
Ga 0.0000 0.0000 0.0000 [1 per cell]  6 F 1.92
Cu 0.3333 0.6667 0.7660 [2 per cell]  5 F 1.92-1.99
F 0.1540 0.3080 0.7484 [6 per cell]  1 Cu 1.92, 1 Ga 1.92
F 0.3333 0.6667 0.2616 [2 per cell]  2 Cu 1.95-1.99

***

Q | The following is a PBE calculation of crystalline GaCu2F8 at its relaxed geometry, from the Alexandria database.

a = 7.7537 Å, b = 7.5759 Å, c = 4.9112 Å
α = 90.00°, β = 102.64°, γ = 90.00°
Closest atoms and distances in Å follow each position.
Space group C2/m (No. 12)
Asymmetric unit:
Ga 0.0000 0.0000 0.0000 [2 per cell]  6 F 1.91-1.93
Cu 0.1925 0.5000 0.4986 [4 per cell]  5 F 1.89-2.00
F 0.0367 0.5000 0.7506 [4 per cell]  2 Cu 1.91-1.92
F 0.1380 0.1649 0.2596 [8 per cell]  1 Ga 1.93, 1 Cu 2.00
F 0.1806 0.0000 0.7895 [4 per cell]  1 Cu 1.89, 1 Ga 1.91

***

It is Q that is most stable; the runner-up trails by 79 meV per atom.

***

P | The following is a PBE calculation of crystalline GaCuF4 at its relaxed geometry, from the Alexandria database.

a = 5.8192 Å, b = 5.9154 Å, c = 6.0525 Å
α = 90.00°, β = 90.00°, γ = 90.00°
Closest atoms and distances in Å follow each position.
Space group P222 (No. 16)
Asymmetric unit:
Ga 0.0000 0.0000 0.0000 [1 per cell]  4 F 1.83
Ga 0.5000 0.0000 0.5000 [1 per cell]  4 F 1.81
Cu 0.0000 0.0000 0.5000 [1 per cell]  4 F 2.18
Cu 0.0000 0.5000 0.0000 [1 per cell]  4 F 2.13
F 0.1734 0.2159 0.8615 [4 per cell]  1 Ga 1.83
F 0.2938 0.1756 0.3552 [4 per cell]  1 Ga 1.81

***

Q | The following is a PBE calculation of crystalline GaCuF4 at its relaxed geometry, from the Alexandria database.

a = 6.4041 Å, b = 12.8829 Å, c = 5.1217 Å
α = 90.00°, β = 127.69°, γ = 90.00°
Closest atoms and distances in Å follow each position.
Space group C2/c (No. 15)
Asymmetric unit:
Ga 0.0000 0.0664 0.2500 [4 per cell]  6 F 1.87-2.00
Cu 0.0000 0.3299 0.7500 [4 per cell]  2 F 1.88
F 0.2038 0.0445 0.7235 [8 per cell]  2 Ga 1.95-2.00
F 0.2228 0.1688 0.2826 [8 per cell]  1 Ga 1.87, 1 Cu 1.88

***

It is Q that is most stable; the runner-up trails by 161 meV per atom.

***

P | The following is a PBE calculation of crystalline Ga2CuF at its relaxed geometry, from the Alexandria database.

a = 6.3991 Å, b = 6.3991 Å, c = 6.5335 Å
α = 90.00°, β = 90.00°, γ = 90.00°
Closest atoms and distances in Å follow each position.
Space group I-42d (No. 122)
Asymmetric unit:
Ga 0.2343 0.2500 0.1250 [8 per cell]  2 F 2.34, 2 Cu 2.47
Cu 0.0000 0.0000 0.5000 [4 per cell]  4 Ga 2.47
F 0.0000 0.0000 0.0000 [4 per cell]  4 Ga 2.34

***

Q | The following is a PBE calculation of crystalline Ga2CuF at its relaxed geometry, from the Alexandria database.

a = 6.2213 Å, b = 6.2213 Å, c = 6.2213 Å
α = 90.00°, β = 90.00°, γ = 90.00°
Closest atoms and distances in Å follow each position.
Space group Fm-3m (No. 225)
Asymmetric unit:
Ga 0.2500 0.2500 0.2500 [8 per cell]  4 F 2.69, 4 Cu 2.69
Cu 0.0000 0.0000 0.0000 [4 per cell]  8 Ga 2.69
F 0.0000 0.0000 0.5000 [4 per cell]  8 Ga 2.69

***

It is Q that is most stable; the runner-up trails by 9 meV per atom.

***

P | The following is a PBE calculation of crystalline GaCuNF2 at its relaxed geometry, from the Alexandria database.

a = 3.8428 Å, b = 3.8428 Å, c = 3.9842 Å
α = 90.00°, β = 90.00°, γ = 90.00°
Closest atoms and distances in Å follow each position.
Space group P4/mmm (No. 123)
Asymmetric unit:
Ga 0.0000 0.0000 0.0000 [1 per cell]  4 F 1.92, 2 N 1.99
Cu 0.5000 0.5000 0.5000 [1 per cell]  4 N 2.72, 8 F 2.77
N 0.0000 0.0000 0.5000 [1 per cell]  2 Ga 1.99
F 0.0000 0.5000 0.0000 [2 per cell]  2 Ga 1.92

***

Q | The following is a PBE calculation of crystalline GaCuNF2 at its relaxed geometry, from the Alexandria database.

a = 3.8298 Å, b = 3.8298 Å, c = 4.1068 Å
α = 90.00°, β = 90.00°, γ = 90.00°
Closest atoms and distances in Å follow each position.
Space group P4/mmm (No. 123)
Asymmetric unit:
Ga 0.0000 0.0000 0.0000 [1 per cell]  4 N 2.71, 8 F 2.81
Cu 0.5000 0.5000 0.5000 [1 per cell]  4 F 1.91, 2 N 2.05
N 0.5000 0.5000 0.0000 [1 per cell]  2 Cu 2.05
F 0.0000 0.5000 0.5000 [2 per cell]  2 Cu 1.91

***

It is P that is most stable; the runner-up trails by 264 meV per atom.

***

P | The following is a PBE calculation of crystalline Na2GaCuF6 at its relaxed geometry, from the Alexandria database.

a = 8.1555 Å, b = 8.1555 Å, c = 8.1555 Å
α = 90.00°, β = 90.00°, γ = 90.00°
Closest atoms and distances in Å follow each position.
Space group Fm-3m (No. 225)
Asymmetric unit:
Na 0.2500 0.2500 0.2500 [8 per cell]  12 F 2.89
Ga 0.0000 0.0000 0.0000 [4 per cell]  6 F 1.92
Cu 0.0000 0.0000 0.5000 [4 per cell]  6 F 2.15
F 0.0000 0.0000 0.2359 [24 per cell]  1 Ga 1.92, 1 Cu 2.15

***

Q | The following is a PBE calculation of crystalline Na2GaCuF6 at its relaxed geometry, from the Alexandria database.

a = 5.5666 Å, b = 5.5689 Å, c = 5.7110 Å
α = 113.81°, β = 97.10°, γ = 116.60°
Closest atoms and distances in Å follow each position.
Space group P1 (No. 1)
Asymmetric unit:
Na 0.0000 0.0000 0.0000 [1 per cell]  4 F 2.23-2.35
Na 0.4856 0.9691 0.4676 [1 per cell]  4 F 2.24-2.37
Ga 0.6950 0.4116 0.1162 [1 per cell]  6 F 1.89-2.00
Cu 0.2005 0.4411 0.6482 [1 per cell]  2 F 1.95-1.98
F 0.0530 0.5072 0.3608 [1 per cell]  1 Cu 1.98, 1 Ga 1.99
F 0.3309 0.2822 0.8476 [1 per cell]  1 Cu 1.95, 1 Ga 2.00
F 0.4688 0.2729 0.3101 [1 per cell]  1 Ga 1.89
F 0.5963 0.9900 0.8820 [1 per cell]  1 Ga 1.93
F 0.7907 0.8273 0.3169 [1 per cell]  1 Ga 1.89
F 0.8994 0.5187 0.8908 [1 per cell]  1 Ga 1.92

***

It is Q that is most stable; the runner-up trails by 76 meV per atom.

***

P | The following is a PBE calculation of crystalline CuGe3F at its relaxed geometry, from the Alexandria database.

a = 4.6720 Å, b = 4.6720 Å, c = 4.6720 Å
α = 90.00°, β = 90.00°, γ = 90.00°
Closest atoms and distances in Å follow each position.
Space group Pm-3m (No. 221)
Asymmetric unit:
Cu 0.0000 0.0000 0.0000 [1 per cell]  6 Ge 2.34
Ge 0.0000 0.0000 0.5000 [3 per cell]  2 Cu 2.34
F 0.5000 0.5000 0.5000 [1 per cell]  12 Ge 3.30

***

Q | The following is a PBE calculation of crystalline CuGe3F at its relaxed geometry, from the Alexandria database.

a = 4.5151 Å, b = 4.5151 Å, c = 4.5151 Å
α = 90.00°, β = 90.00°, γ = 90.00°
Closest atoms and distances in Å follow each position.
Space group Pm-3m (No. 221)
Asymmetric unit:
Cu 0.0000 0.0000 0.0000 [1 per cell]  12 Ge 3.19
Ge 0.0000 0.5000 0.5000 [3 per cell]  2 F 2.26
F 0.5000 0.5000 0.5000 [1 per cell]  6 Ge 2.26

***

It is P that is most stable; the runner-up trails by 20 meV per atom.